No. 1
Compound: Y3Co2
Source: Alexandria via LeMat-Bulk
Functional: GGA-PBEsol
Structure: relaxed

abc: 3.818 9.238 12.001
angles: 90.00 90.00 90.00
Fractional coordinates of all 20 atoms:
Co  0.000  0.139  0.271
Co  0.000  0.861  0.729
Co  0.500  0.639  0.229
Co  0.500  0.361  0.771
Co  0.000  0.122  0.468
Co  0.000  0.878  0.532
Co  0.500  0.622  0.032
Co  0.500  0.378  0.968
Y  0.000  0.804  0.125
Y  0.000  0.196  0.875
Y  0.500  0.304  0.375
Y  0.500  0.696  0.625
Y  0.000  0.624  0.385
Y  0.000  0.376  0.615
Y  0.500  0.124  0.115
Y  0.500  0.876  0.885
Y  0.000  0.429  0.135
Y  0.000  0.571  0.865
Y  0.500  0.929  0.365
Y  0.500  0.071  0.635

Output
The value obtained for the formation energy is -169 meV/atom.


No. 2
Compound: Hf2SiRuN
Source: Alexandria via LeMat-Bulk
Functional: GGA-PBEsol
Structure: relaxed

abc: 3.722 4.362 4.362
angles: 90.00 90.00 90.00
Fractional coordinates of all 5 atoms:
Ru  0.500  0.500  0.500
Si  0.500  0.000  0.000
Hf  0.000  0.000  0.500
Hf  0.000  0.500  0.000
N  0.000  0.000  0.000

Output
The formation energy from raw total energies is -3.60 eV per formula unit.


Number 1: density of states at the Fermi level 0.98 states/eV per atom. Number 2: density of states at the Fermi level 0.42 states/eV per atom.